Below is a relaxed structure of AcSnTe, with properties calculated at the PBE level.

Lattice parameters (Å, degrees): 10.833 10.833 10.833 156.07 156.07 34.10
Positions (direct):
Ac 0.142 0.142 0.000
Ac 0.858 0.858 0.000
Sn 0.000 0.500 0.500
Sn 0.500 0.000 0.500
Te 0.310 0.310 0.000
Te 0.690 0.690 0.000

Summary:
Formation energy without anion corrections = -1044.2 meV per atom
DOS(E_F) = 3.8 states/eV/cell
E_tot = -28.77 eV/cell
Energy above the most stable polymorph in this dataset = 0.0000 eV per atom

***

Below is a relaxed structure of PuScBi, with properties calculated at the PBE level.

Lattice parameters (Å, degrees): 5.381 5.381 6.094 90.00 90.00 120.00
Positions (direct):
Pu 0.000 0.000 0.000
Pu 0.000 0.000 0.500
Sc 0.333 0.667 0.250
Sc 0.667 0.333 0.750
Bi 0.333 0.667 0.750
Bi 0.667 0.333 0.250

Summary:
DOS(E_F) = 13.9 states/eV/cell
E_tot = -51.56 eV/cell
E_form = -0.411 eV/atom